Compound: Mg3HPt
Source: the Alexandria database
Functional: PBE
Structure: relaxed

Lattice parameters (Å, degrees): 4.161 4.161 4.161 90.00 90.00 90.00
Fractional coordinates of all 5 atoms:
Mg  0.000  0.000  0.500
Mg  0.000  0.500  0.000
Mg  0.500  0.000  0.000
H  0.000  0.000  0.000
Pt  0.500  0.500  0.500

Summary:
The energy above the most stable polymorph in this dataset is 0 meV/atom. As for the crystal system: cubic. Its total energy is -3.25 eV/atom. The value obtained for the density is 6.20 g/cm³.